Record 1
MgZnTe2 | PBE-GGA | relaxed

Summary:
DFT total energy	-2.34	eV/atom
formation energy without anion corrections	-0.056	eV per atom
Fermi-level density of states	0.798	states/eV/atom
SG	Fm-3m, No. 225

```
MgZnTe2
1.0
0.000 3.656 3.656
3.656 0.000 3.656
3.656 3.656 0.000
Zn Te Mg
1 2 1
Cartesian
3.656 3.656 3.656
1.828 1.828 1.828
5.484 5.484 5.484
0.000 0.000 0.000
```

***

Record 2
Pu2HfH | PBE-GGA | relaxed

Summary:
DFT total energy	-10.22	eV/atom
energy relative to the lowest polymorph listed for this composition	0.140	eV per atom
Fermi-level density of states	3.388	states/eV/atom
SG	R-3m, No. 166

```
Pu2HfH
1.0
-2.797 0.501 -1.301
-0.287 0.066 -3.112
-2.638 -8.912 -1.516
H Hf Pu
1 1 2
Cartesian
-2.861 -4.172 -2.964
0.000 0.000 0.000
-2.105 -5.899 -1.501
-3.617 -2.446 -4.428
```

***

Record 3
TbSm3DySc | PBE-GGA | relaxed

Summary:
DFT total energy	-4.78	eV/atom
Fermi-level density of states	1.493	states/eV/atom
SG	C2/m, No. 12
energy of formation from the pure elements	1.052	eV/f.u.

```
TbSm3DySc
1.0
-3.238 3.680 2.646
-4.790 -9.853 1.977
4.123 -0.037 5.096
Tb Sm Dy Sc
2 6 2 2
Cartesian
-0.356 -5.455 7.150
-3.550 -0.755 2.568
-5.001 -3.611 4.764
-2.279 -2.578 6.658
-5.130 -7.673 4.392
-1.627 -3.633 3.060
1.224 1.463 5.327
1.095 -2.600 4.955
-0.055 -1.139 1.517
-3.851 -5.071 8.201
-1.354 -0.300 4.624
-2.552 -5.910 5.094
```

***

Record 4
CaMg2Br6 | PBE-GGA | relaxed

Summary:
DFT total energy	-3.29	eV/atom
formation energy without anion corrections	-1.600	eV per atom
energy relative to the lowest polymorph listed for this composition	0.058	eV per atom
Fermi-level density of states	0.000	states/eV/atom
SG	C2/m, No. 12

```
CaMg2Br6
1.0
-1.993 3.244 -1.849
-4.140 -5.784 -0.842
-5.885 1.801 9.506
Ca Mg Br
1 2 6
Cartesian
-2.943 0.901 4.753
-7.750 1.207 5.629
-4.268 -1.947 1.186
-9.380 -0.372 4.614
-5.211 -0.999 -0.980
-6.807 0.260 7.795
-5.725 1.547 4.041
-6.293 -2.286 2.774
-2.639 -0.367 2.201
```

***

Record 5
KP4 | PBE-GGA | relaxed

Summary:
DFT total energy	-3.06	eV/atom
energy relative to the lowest polymorph listed for this composition	1.584	eV per atom
Fermi-level density of states	0.228	states/eV/atom
SG	Im-3m, No. 229
energy of formation from the pure elements	7.416	eV/f.u.

```
KP4
1.0
4.725 1.736 1.788
-3.909 2.092 2.979
-0.176 -5.329 0.319
K P
1 4
Cartesian
0.000 0.000 0.000
2.362 0.868 0.894
0.320 -0.750 2.543
-1.954 1.046 1.490
-0.088 -2.665 0.160
```

***

Record 6
Tb5Tm2Sc2 | PBE-GGA | relaxed

Summary:
DFT total energy	-4.85	eV/atom
energy relative to the lowest polymorph listed for this composition	0.082	eV per atom
Fermi-level density of states	1.799	states/eV/atom
SG	Imma, No. 74
energy of formation from the pure elements	1.088	eV/f.u.

```
Tb5Tm2Sc2
1.0
9.783 0.000 0.000
0.000 5.479 0.000
-4.892 -2.740 10.171
Tb Tm Sc
10 4 4
Cartesian
-3.525 0.208 7.939
8.417 2.948 2.232
-1.366 2.948 7.939
6.258 0.208 2.232
1.255 0.204 3.290
3.636 2.943 6.881
3.636 2.943 3.290
1.255 0.204 6.881
0.489 2.943 5.085
4.403 0.204 5.085
0.000 0.204 0.000
4.892 2.944 0.000
-1.598 0.205 5.085
6.490 2.944 5.085
1.580 2.942 0.983
3.311 0.203 9.188
3.311 0.203 0.983
1.580 2.942 9.188
```

***

Record 7
CaSbI2 | PBE-GGA | relaxed

Summary:
DFT total energy	-2.76	eV/atom
formation energy without anion corrections	-0.458	eV per atom
energy relative to the lowest polymorph listed for this composition	0.000	eV per atom
Fermi-level density of states	1.010	states/eV/atom
SG	I-42d, No. 122

```
CaSbI2
1.0
8.868 0.000 0.000
0.000 8.868 0.000
4.434 4.434 3.733
I Sb Ca
4 2 2
Cartesian
6.454 2.217 0.933
2.414 6.651 0.933
6.651 6.848 2.800
11.085 10.888 2.800
0.000 0.000 0.000
8.868 4.434 1.866
4.434 4.434 0.000
4.434 8.868 1.866
```

***

Record 8
Nd2GaGe3Ir4 | PBE-GGA | relaxed

Summary:
DFT total energy	-6.96	eV/atom
Fermi-level density of states	0.663	states/eV/atom
SG	P-4m2, No. 115
energy of formation from the pure elements	-7.705	eV/f.u.

```
Nd2GaGe3Ir4
1.0
4.262 0.000 0.000
0.000 4.262 0.000
0.000 0.000 10.279
Nd Ga Ge Ir
2 1 3 4
Cartesian
2.131 0.000 2.596
0.000 2.131 7.683
2.131 2.131 5.139
0.000 0.000 5.139
2.131 0.000 8.936
0.000 2.131 1.343
2.131 2.131 0.000
0.000 0.000 0.000
2.131 0.000 6.487
0.000 2.131 3.792
```